Entry from Alexandria: a relaxed Pm2SiO5 crystal (GGA-PBE).

Unit cell a=8.1874 b=8.1874 c=10.8226 alpha=118.65 beta=118.65 gamma=50.49
Element x y z (fractional)
1 Pm 0.0253 0.2639 0.8354
2 Pm 0.2106 0.7164 0.5355
3 Pm 0.2639 0.0253 0.3355
4 Pm 0.2836 0.7894 0.9645
5 Pm 0.7164 0.2106 0.0355
6 Pm 0.7361 0.9747 0.6646
7 Pm 0.7894 0.2836 0.4645
8 Pm 0.9747 0.7361 0.1646
9 Si 0.2312 0.4075 0.6932
10 Si 0.4075 0.2312 0.1931
11 Si 0.5925 0.7688 0.8068
12 Si 0.7688 0.5925 0.3068
13 O 0.0611 0.3492 0.6727
14 O 0.0749 0.8919 0.1043
15 O 0.1003 0.6615 0.6819
16 O 0.1081 0.9251 0.3957
17 O 0.2351 0.3685 0.0674
18 O 0.3385 0.8997 0.8181
19 O 0.3492 0.0611 0.1727
20 O 0.3685 0.2351 0.5674
21 O 0.4053 0.4083 0.8560
22 O 0.4083 0.4053 0.3560
23 O 0.5917 0.5947 0.6440
24 O 0.5947 0.5917 0.1440
25 O 0.6315 0.7649 0.4326
26 O 0.6508 0.9389 0.8273
27 O 0.6615 0.1003 0.1819
28 O 0.7649 0.6315 0.9326
29 O 0.8919 0.0749 0.6043
30 O 0.8997 0.3385 0.3181
31 O 0.9251 0.1081 0.8957
32 O 0.9389 0.6508 0.3273

Summary:
- E_form (uncorrected) (eV/atom) = -3.2987
- total DFT energy (no corrections) (eV per atom) = -8.26

Entry from Alexandria: a relaxed AcDy4Y3 crystal (GGA-PBE).

Unit cell a=11.9110 b=13.4316 c=3.4690 alpha=90.00 beta=90.00 gamma=90.00
Element x y z (fractional)
1 Ac 0.0000 0.0000 0.0000
2 Ac 0.5000 0.5000 0.0000
3 Dy 0.0000 0.2591 0.0000
4 Dy 0.0000 0.7409 0.0000
5 Dy 0.2399 0.5000 0.5000
6 Dy 0.2601 0.0000 0.5000
7 Dy 0.5000 0.2409 0.0000
8 Dy 0.5000 0.7591 0.0000
9 Dy 0.7399 0.0000 0.5000
10 Dy 0.7601 0.5000 0.5000
11 Y 0.0000 0.5000 0.0000
12 Y 0.2500 0.2500 0.5000
13 Y 0.2500 0.7500 0.5000
14 Y 0.5000 0.0000 0.0000
15 Y 0.7500 0.2500 0.5000
16 Y 0.7500 0.7500 0.5000

Summary:
- formation enthalpy at 0 K (eV per atom) = 0.449
- total DFT energy (no corrections) (eV per atom) = -4.79

Entry from Alexandria: a relaxed TmScPtAu crystal (GGA-PBE).

Unit cell a=6.8592 b=6.8592 c=6.8592 alpha=90.00 beta=90.00 gamma=90.00
Element x y z (fractional)
1 Tm 0.0000 0.0000 0.0000
2 Tm 0.0000 0.5000 0.5000
3 Tm 0.5000 0.0000 0.5000
4 Tm 0.5000 0.5000 0.0000
5 Sc 0.0000 0.0000 0.5000
6 Sc 0.0000 0.5000 0.0000
7 Sc 0.5000 0.0000 0.0000
8 Sc 0.5000 0.5000 0.5000
9 Pt 0.2500 0.2500 0.2500
10 Pt 0.2500 0.7500 0.7500
11 Pt 0.7500 0.2500 0.7500
12 Pt 0.7500 0.7500 0.2500
13 Au 0.2500 0.2500 0.7500
14 Au 0.2500 0.7500 0.2500
15 Au 0.7500 0.2500 0.2500
16 Au 0.7500 0.7500 0.7500

Summary:
- formation enthalpy at 0 K (eV per atom) = -1.030
- total DFT energy (no corrections) (eV per atom) = -6.06

Entry from Alexandria: a relaxed Li3Ac2CuPd12 crystal (GGA-PBE).

Unit cell a=11.6868 b=11.6868 c=11.6868 alpha=29.12 beta=29.12 gamma=29.12
Element x y z (fractional)
1 Li 0.0000 0.5000 0.5000
2 Li 0.5000 0.0000 0.5000
3 Li 0.5000 0.5000 0.0000
4 Ac 0.1357 0.1357 0.1357
5 Ac 0.8643 0.8643 0.8643
6 Cu 0.5000 0.5000 0.5000
7 Pd 0.1061 0.1061 0.6428
8 Pd 0.1061 0.6428 0.1061
9 Pd 0.1077 0.6126 0.6126
10 Pd 0.3572 0.8939 0.8939
11 Pd 0.3874 0.3874 0.8923
12 Pd 0.3874 0.8923 0.3874
13 Pd 0.6126 0.1077 0.6126
14 Pd 0.6126 0.6126 0.1077
15 Pd 0.6428 0.1061 0.1061
16 Pd 0.8923 0.3874 0.3874
17 Pd 0.8939 0.3572 0.8939
18 Pd 0.8939 0.8939 0.3572

Summary:
- formation enthalpy at 0 K (eV per atom) = -0.268
- total DFT energy (no corrections) (eV per atom) = -4.73

Entry from Alexandria: a relaxed SrMn3Pb crystal (GGA-PBE).

Unit cell a=5.2298 b=5.2298 c=5.2298 alpha=90.00 beta=90.00 gamma=90.00
Element x y z (fractional)
1 Sr 0.0000 0.0000 0.0000
2 Mn 0.0000 0.5000 0.5000
3 Mn 0.5000 0.0000 0.5000
4 Mn 0.5000 0.5000 0.0000
5 Pb 0.5000 0.5000 0.5000

Summary:
- formation enthalpy at 0 K (eV per atom) = 0.898
- total DFT energy (no corrections) (eV per atom) = -5.68

Entry from Alexandria: a relaxed Ca3La2Cd3 crystal (GGA-PBE).

Unit cell a=3.7796 b=5.5695 c=23.5997 alpha=90.00 beta=90.00 gamma=90.00
Element x y z (fractional)
1 Ca 0.0000 0.0000 0.0000
2 Ca 0.0000 0.5000 0.1177
3 Ca 0.0000 0.5000 0.8823
4 Ca 0.5000 0.0000 0.3823
5 Ca 0.5000 0.0000 0.6177
6 Ca 0.5000 0.5000 0.5000
7 La 0.0000 0.0000 0.2321
8 La 0.0000 0.0000 0.7679
9 La 0.5000 0.5000 0.2679
10 La 0.5000 0.5000 0.7321
11 Cd 0.0000 0.0000 0.5000
12 Cd 0.0000 0.5000 0.3843
13 Cd 0.0000 0.5000 0.6157
14 Cd 0.5000 0.0000 0.1157
15 Cd 0.5000 0.0000 0.8843
16 Cd 0.5000 0.5000 0.0000

Summary:
- formation enthalpy at 0 K (eV per atom) = -0.244
- total DFT energy (no corrections) (eV per atom) = -2.57

Entry from Alexandria: a relaxed YTm2Au crystal (GGA-PBE).

Unit cell a=3.5422 b=3.5422 c=8.6896 alpha=90.00 beta=90.00 gamma=90.00
Element x y z (fractional)
1 Y 0.0000 0.0000 0.0000
2 Tm 0.5000 0.5000 0.2967
3 Tm 0.5000 0.5000 0.7033
4 Au 0.0000 0.0000 0.5000

Summary:
- formation enthalpy at 0 K (eV per atom) = -0.415
- total DFT energy (no corrections) (eV per atom) = -5.09

Entry from Alexandria: a relaxed Ni3Rh4W crystal (GGA-PBE).

Unit cell a=21.3105 b=2.6854 c=4.1374 alpha=90.00 beta=96.05 gamma=90.00
Element x y z (fractional)
1 Ni 0.0000 0.0000 0.0000
2 Ni 0.1663 0.0000 0.2082
3 Ni 0.3337 0.5000 0.7918
4 Ni 0.5000 0.5000 0.0000
5 Ni 0.6663 0.5000 0.2082
6 Ni 0.8337 0.0000 0.7918
7 Rh 0.1024 0.0000 0.6778
8 Rh 0.2153 0.5000 0.7320
9 Rh 0.2847 0.0000 0.2680
10 Rh 0.3976 0.5000 0.3222
11 Rh 0.6024 0.5000 0.6778
12 Rh 0.7153 0.0000 0.7320
13 Rh 0.7847 0.5000 0.2680
14 Rh 0.8976 0.0000 0.3222
15 W 0.0000 0.5000 0.5000
16 W 0.5000 0.0000 0.5000

Summary:
- formation enthalpy at 0 K (eV per atom) = 0.353
- total DFT energy (no corrections) (eV per atom) = -7.11